This record from Alexandria describes a relaxed Cs2GaGe crystal. The functional is PBE-GGA.

abc: 6.224 6.224 6.224
angles: 60.00 60.00 60.00
Sites, in units of the cell vectors:
Ga 0.000 0.000 0.000
Ge 0.500 0.500 0.500
Cs 0.250 0.250 0.250
Cs 0.750 0.750 0.750

DOS at the Fermi energy: 2.104 states/eV/cell
Energy of formation from the pure elements: 0.39 eV per atom
Magnetic moment: 1.00 μB/f.u.
E: -7.78 eV/cell
Offset from the most stable computed form: 43.0 kJ per mole of atoms
Crystal system: cubic
Space group: Fm-3m, No. 225